(1)
! ZnCoP2 PBE-GGA relaxed; values from VASP
&SYSTEM
  ibrav = 0, nat = 4, ntyp = 3
/
ATOMIC_SPECIES
Zn 65.41 Zn.upf
Co 58.93 Co.upf
P 30.97 P.upf
CELL_PARAMETERS angstrom
2.697 0.000 0.000
0.000 2.697 0.000
0.000 0.000 7.580
ATOMIC_POSITIONS crystal
Zn 0.000 0.000 0.000
Co 0.500 0.500 0.240
P 0.000 0.000 0.400
P 0.500 0.500 0.735
! * crystal system: tetragonal
! * space-group type: P4mm, No. 99
! * DFT formation energy: 0.07 eV per atom
! * calculated total energy: -18.9 eV/cell


(2)
! HoMgScAg PBE-GGA relaxed; values from VASP
&SYSTEM
  ibrav = 0, nat = 4, ntyp = 4
/
ATOMIC_SPECIES
Ho 164.93 Ho.upf
Mg 24.30 Mg.upf
Sc 44.96 Sc.upf
Ag 107.87 Ag.upf
CELL_PARAMETERS angstrom
3.628 0.000 0.000
0.000 3.628 0.000
0.000 0.000 7.079
ATOMIC_POSITIONS crystal
Ho 0.000 0.000 0.000
Mg 0.500 0.500 0.280
Sc 0.000 0.000 0.520
Ag 0.500 0.500 0.742
! * crystal system: tetragonal
! * space-group type: P4mm, No. 99
! * DFT formation energy: -0.16 eV per atom
! * calculated total energy: -16.0 eV/cell
! * E above lowest polymorph: 0 kJ/mol of formula units


(3)
! Tm8Te3As3P PBE-GGA relaxed; values from VASP
&SYSTEM
  ibrav = 0, nat = 15, ntyp = 4
/
ATOMIC_SPECIES
Tm 168.93 Tm.upf
Te 127.60 Te.upf
As 74.92 As.upf
P 30.97 P.upf
CELL_PARAMETERS angstrom
4.093 2.363 6.909
-4.093 2.363 6.909
0.000 -4.726 6.909
ATOMIC_POSITIONS crystal
Tm 0.238 0.238 0.238
Tm 0.243 0.737 0.737
Tm 0.263 0.263 0.757
Tm 0.263 0.757 0.263
Tm 0.737 0.243 0.737
Tm 0.737 0.737 0.243
Tm 0.757 0.263 0.263
Tm 0.762 0.762 0.762
Te 0.000 0.500 0.500
Te 0.500 0.000 0.500
Te 0.500 0.500 0.000
As 0.000 0.000 0.500
As 0.000 0.500 0.000
As 0.500 0.000 0.000
P 0.500 0.500 0.500
! * crystal system: trigonal
! * space-group type: R-3m, No. 166
! * calculated total energy: -84.1 eV/cell
! * energy relative to the elements, uncorrected: -1883 kJ/mol of formula units


(4)
! Ba3CeIr2O9 PBE-GGA relaxed; values from VASP
&SYSTEM
  ibrav = 0, nat = 30, ntyp = 4
/
ATOMIC_SPECIES
Ba 137.33 Ba.upf
Ce 140.12 Ce.upf
Ir 192.22 Ir.upf
O 16.00 O.upf
CELL_PARAMETERS angstrom
5.973 0.000 0.000
-2.987 5.173 0.000
0.000 0.000 14.832
ATOMIC_POSITIONS crystal
Ba 0.000 0.000 0.250
Ba 0.000 0.000 0.750
Ba 0.333 0.667 0.100
Ba 0.333 0.667 0.400
Ba 0.667 0.333 0.600
Ba 0.667 0.333 0.900
Ce 0.000 0.000 0.000
Ce 0.000 0.000 0.500
Ir 0.333 0.667 0.666
Ir 0.333 0.667 0.834
Ir 0.667 0.333 0.166
Ir 0.667 0.333 0.334
O 0.014 0.507 0.750
O 0.175 0.351 0.587
O 0.175 0.351 0.913
O 0.175 0.825 0.587
O 0.175 0.825 0.913
O 0.351 0.175 0.087
O 0.351 0.175 0.413
O 0.493 0.507 0.750
O 0.493 0.986 0.750
O 0.507 0.014 0.250
O 0.507 0.493 0.250
O 0.649 0.825 0.587
O 0.649 0.825 0.913
O 0.825 0.175 0.087
O 0.825 0.175 0.413
O 0.825 0.649 0.087
O 0.825 0.649 0.413
O 0.986 0.493 0.250
! * crystal system: hexagonal
! * space-group type: P6_3/mmc, No. 194
! * calculated total energy: -212.8 eV/cell
! * energy relative to the elements, uncorrected: -3120 kJ/mol of formula units


(5)
! Pa5P4H PBE-GGA relaxed; values from VASP
&SYSTEM
  ibrav = 0, nat = 10, ntyp = 3
/
ATOMIC_SPECIES
Pa 231.04 Pa.upf
P 30.97 P.upf
H 1.01 H.upf
CELL_PARAMETERS angstrom
-4.328 4.328 2.789
4.328 -4.328 2.789
4.328 4.328 -2.789
ATOMIC_POSITIONS crystal
Pa 0.000 0.000 0.000
Pa 0.214 0.601 0.811
Pa 0.404 0.214 0.613
Pa 0.601 0.791 0.387
Pa 0.791 0.404 0.189
P 0.095 0.306 0.397
P 0.306 0.910 0.211
P 0.698 0.095 0.789
P 0.910 0.698 0.603
H 0.545 0.545 0.000
! * crystal system: tetragonal
! * space-group type: I4, No. 79
! * calculated total energy: -82.2 eV/cell


(6)
! CaPb2 PBE-GGA relaxed; values from VASP
&SYSTEM
  ibrav = 0, nat = 12, ntyp = 2
/
ATOMIC_SPECIES
Ca 40.08 Ca.upf
Pb 207.20 Pb.upf
CELL_PARAMETERS angstrom
7.642 0.000 0.000
0.000 7.642 0.000
0.000 0.000 7.642
ATOMIC_POSITIONS crystal
Ca 0.000 0.000 0.000
Ca 0.000 0.500 0.500
Ca 0.500 0.000 0.500
Ca 0.500 0.500 0.000
Pb 0.117 0.617 0.883
Pb 0.117 0.883 0.383
Pb 0.383 0.117 0.883
Pb 0.383 0.383 0.383
Pb 0.617 0.617 0.617
Pb 0.617 0.883 0.117
Pb 0.883 0.117 0.617
Pb 0.883 0.383 0.117
! * crystal system: cubic
! * space-group type: Pa-3, No. 205
! * DFT formation energy: 0.22 eV per atom
! * calculated total energy: -35.0 eV/cell